The following is a DFT calculation (PBE) of SrCdGa2Ir after structural relaxation.

Values from the calculation:
polymorph energy (0 for the lowest one)	0.0	kJ per mole of atoms
magnetic moment	0.00	μB/f.u.
DOS(E_F)	3.63	states/eV/cell
symmetry	P4/mmm, No. 123
E_tot	-19.24	eV for the cell shown
E_form	-0.3450	eV per atom

Unit cell a=4.832 b=4.832 c=5.264 alpha=90.00 beta=90.00 gamma=90.00
Atoms (fractional coordinates):
Cd (0.000, 0.000, 0.500)
Ga (0.500, 0.000, 0.000)
Ga (0.000, 0.500, 0.000)
Ir (0.000, 0.000, 0.000)
Sr (0.500, 0.500, 0.500)